An optimized crystal structure of Sr2ZrIr. Source: Alexandria via LeMat-Bulk, functional PBE.

a = 3.5991 Å, b = 3.5991 Å, c = 9.7238 Å
α = 90.00°, β = 90.00°, γ = 90.00°
Element x y z (fractional)
Sr: 0.0000 0.0000 0.0000
Sr: 0.5000 0.5000 0.3803
Zr: 0.0000 0.0000 0.6634
Ir: 0.5000 0.5000 0.7680

Computed properties:
total DFT energy (no corrections)	-5.36	eV per atom
total magnetic moment	0.001	μB/f.u.
density	6.05	g/cm³
V	31.489	A^3/atom
distance to the lowest polymorph of the same formula	3.20	kJ/mol of atoms

***

An optimized crystal structure of AcMg8Pd4. Source: Alexandria via LeMat-Bulk, functional PBE.

a = 7.3539 Å, b = 7.3539 Å, c = 7.3539 Å
α = 98.67°, β = 98.67°, γ = 134.31°
Element x y z (fractional)
Ac: 0.0000 0.0000 0.0000
Mg: 0.0000 0.3425 0.3425
Mg: 0.0000 0.6575 0.6575
Mg: 0.2776 0.5000 0.7776
Mg: 0.3425 0.0000 0.3425
Mg: 0.5000 0.2776 0.7776
Mg: 0.5000 0.7224 0.2224
Mg: 0.6575 0.0000 0.6575
Mg: 0.7224 0.5000 0.2224
Pd: 0.0000 0.0000 0.5000
Pd: 0.0000 0.5000 0.0000
Pd: 0.5000 0.0000 0.0000
Pd: 0.5000 0.5000 0.5000

Computed properties:
total DFT energy (no corrections)	-3.38	eV per atom
total magnetic moment	0.000	μB/f.u.
density	5.36	g/cm³
V	20.175	A^3/atom

***

An optimized crystal structure of BaLa2O4. Source: Alexandria via LeMat-Bulk, functional PBE.

a = 7.4533 Å, b = 7.4533 Å, c = 7.4533 Å
α = 60.00°, β = 60.00°, γ = 60.00°
Element x y z (fractional)
Ba: 0.1250 0.1250 0.1250
Ba: 0.8750 0.8750 0.8750
La: 0.0000 0.5000 0.5000
La: 0.5000 0.0000 0.5000
La: 0.5000 0.5000 0.0000
La: 0.5000 0.5000 0.5000
O: 0.2684 0.2684 0.2684
O: 0.2684 0.2684 0.6947
O: 0.2684 0.6947 0.2684
O: 0.3053 0.7316 0.7316
O: 0.6947 0.2684 0.2684
O: 0.7316 0.3053 0.7316
O: 0.7316 0.7316 0.3053
O: 0.7316 0.7316 0.7316

Computed properties:
total DFT energy (no corrections)	-7.70	eV per atom
total magnetic moment	0.000	μB/f.u.
density	5.44	g/cm³
V	20.913	A^3/atom
distance to the lowest polymorph of the same formula	0.00	kJ/mol of atoms
uncorrected formation energy	-3.185	eV/atom

***

An optimized crystal structure of AsPtW2. Source: Alexandria via LeMat-Bulk, functional PBE.

a = 2.8526 Å, b = 4.2018 Å, c = 5.4677 Å
α = 90.00°, β = 105.01°, γ = 90.00°
Element x y z (fractional)
As: 0.0000 0.0000 0.0000
Pt: 0.1291 0.5000 0.2607
W: 0.3899 0.5000 0.7769
W: 0.7579 0.0000 0.5218

Computed properties:
total DFT energy (no corrections)	-8.99	eV per atom
total magnetic moment	0.000	μB/f.u.
density	16.73	g/cm³
V	15.825	A^3/atom

***

An optimized crystal structure of LaMnHg2. Source: Alexandria via LeMat-Bulk, functional PBE.

a = 3.5179 Å, b = 3.5179 Å, c = 7.6294 Å
α = 90.00°, β = 90.00°, γ = 90.00°
Element x y z (fractional)
La: 0.0000 0.0000 0.0000
Mn: 0.0000 0.0000 0.5000
Hg: 0.5000 0.5000 0.2959
Hg: 0.5000 0.5000 0.7041

Computed properties:
total DFT energy (no corrections)	-3.76	eV per atom
total magnetic moment	3.759	μB/f.u.
density	10.46	g/cm³
V	23.605	A^3/atom

***

An optimized crystal structure of LiCoRuW. Source: Alexandria via LeMat-Bulk, functional PBE.

a = 5.9190 Å, b = 5.9190 Å, c = 5.9190 Å
α = 90.00°, β = 90.00°, γ = 90.00°
Element x y z (fractional)
Li: 0.0000 0.0000 0.0000
Li: 0.0000 0.5000 0.5000
Li: 0.5000 0.0000 0.5000
Li: 0.5000 0.5000 0.0000
Co: 0.2500 0.2500 0.2500
Co: 0.2500 0.7500 0.7500
Co: 0.7500 0.2500 0.7500
Co: 0.7500 0.7500 0.2500
Ru: 0.2500 0.2500 0.7500
Ru: 0.2500 0.7500 0.2500
Ru: 0.7500 0.2500 0.2500
Ru: 0.7500 0.7500 0.7500
W: 0.0000 0.0000 0.5000
W: 0.0000 0.5000 0.0000
W: 0.5000 0.0000 0.0000
W: 0.5000 0.5000 0.5000

Computed properties:
total DFT energy (no corrections)	-7.80	eV per atom
total magnetic moment	0.000	μB/f.u.
density	11.24	g/cm³
V	12.961	A^3/atom

***

An optimized crystal structure of ZnTe2Ir. Source: Alexandria via LeMat-Bulk, functional PBE.

a = 4.0896 Å, b = 4.0896 Å, c = 23.9859 Å
α = 90.00°, β = 90.00°, γ = 120.00°
Element x y z (fractional)
Zn: 0.0000 0.0000 0.0000
Zn: 0.3333 0.6667 0.6667
Zn: 0.6667 0.3333 0.3333
Te: 0.0000 0.0000 0.1130
Te: 0.0000 0.0000 0.8870
Te: 0.3333 0.6667 0.5537
Te: 0.3333 0.6667 0.7796
Te: 0.6667 0.3333 0.2204
Te: 0.6667 0.3333 0.4463
Ir: 0.0000 0.0000 0.5000
Ir: 0.3333 0.6667 0.1667
Ir: 0.6667 0.3333 0.8333

Computed properties:
total DFT energy (no corrections)	-4.10	eV per atom
total magnetic moment	0.000	μB/f.u.
density	7.35	g/cm³
V	28.952	A^3/atom
uncorrected formation energy	0.001	eV/atom

***

An optimized crystal structure of CaLaTeMo2. Source: Alexandria via LeMat-Bulk, functional PBE.

a = 4.8258 Å, b = 4.8258 Å, c = 5.7802 Å
α = 90.00°, β = 90.00°, γ = 90.00°
Element x y z (fractional)
Ca: 0.0000 0.0000 0.0000
La: 0.0000 0.0000 0.5000
Te: 0.5000 0.5000 0.0000
Mo: 0.0000 0.5000 0.5000
Mo: 0.5000 0.0000 0.5000

Computed properties:
total DFT energy (no corrections)	-4.92	eV per atom
total magnetic moment	0.000	μB/f.u.
density	6.15	g/cm³
V	26.922	A^3/atom
uncorrected formation energy	1.422	eV/atom

***

An optimized crystal structure of ZrHgTe2I. Source: Alexandria via LeMat-Bulk, functional PBE.

a = 5.6214 Å, b = 5.6214 Å, c = 5.8803 Å
α = 90.00°, β = 90.00°, γ = 90.00°
Element x y z (fractional)
Zr: 0.0000 0.0000 0.0000
Hg: 0.5000 0.5000 0.5000
Te: 0.0000 0.5000 0.0000
Te: 0.5000 0.0000 0.0000
I: 0.0000 0.0000 0.5000

Computed properties:
total DFT energy (no corrections)	-3.65	eV per atom
total magnetic moment	0.000	μB/f.u.
density	6.02	g/cm³
V	37.164	A^3/atom
distance to the lowest polymorph of the same formula	0.00	kJ/mol of atoms
uncorrected formation energy	-0.312	eV/atom